DFT (GGA-PBE) results for a geometry-optimized La8Er5Sc structure.

Computed properties:
Formation energy from the elements = 0.32 eV/atom
M_tot = 0.00 μB per formula unit
Density of states at the Fermi level = 1.95 states/eV per atom
VASP energy = -4.5824 eV/atom

```
data_La8Er5Sc
_cell_length_a 9.990
_cell_length_b 9.990
_cell_length_c 9.843
_cell_angle_alpha 90.00
_cell_angle_beta 90.00
_cell_angle_gamma 90.00
_symmetry_space_group_name_H-M 'I -4'
_symmetry_Int_Tables_number 82
loop_
_symmetry_equiv_pos_as_xyz
'x,y,z'
'y,-x,-z'
'-x,-y,z'
'-y,x,-z'
'x+1/2,y+1/2,z+1/2'
'y+1/2,-x+1/2,-z+1/2'
'-x+1/2,-y+1/2,z+1/2'
'-y+1/2,x+1/2,-z+1/2'
loop_
_atom_site_label
_atom_site_type_symbol
_atom_site_fract_x
_atom_site_fract_y
_atom_site_fract_z
La1 La 0.074 0.326 0.464
La2 La 0.077 0.186 0.794
Er1 Er 0.000 0.000 0.500
Er2 Er 0.111 0.248 0.132
Sc1 Sc 0.000 0.500 0.750
```